# PuThHg4, relaxed, DFT PBE
data_PuThHg4
_symmetry_space_group_name_H-M 'P 1'
_symmetry_Int_Tables_number 1
_cell_length_a 6.0017
_cell_length_b 6.0017
_cell_length_c 6.0017
_cell_angle_alpha 60.00
_cell_angle_beta 60.00
_cell_angle_gamma 60.00
loop_
_symmetry_equiv_pos_as_xyz
'x,y,z'
loop_
_atom_site_label
_atom_site_fract_x
_atom_site_fract_y
_atom_site_fract_z
_atom_site_occupancy
Pu1 0.0000 0.0000 0.0000 1
Th1 0.2500 0.2500 0.2500 1
Hg1 0.1249 0.6250 0.6250 1
Hg2 0.6250 0.1249 0.6250 1
Hg3 0.6250 0.6250 0.1249 1
Hg4 0.6250 0.6250 0.6250 1
# Magnetization, μB per formula unit: 6.06
# Uncorrected energy, eV/f.u.: -23.190
# Space group: F-43m (216)
# Energy of formation from the pure elements, eV/atom: -0.039
# Distance to the lowest polymorph of the same formula, eV per atom: 0.177

=====

# HoEr4Cu, relaxed, DFT PBE
data_HoEr4Cu
_symmetry_space_group_name_H-M 'P 1'
_symmetry_Int_Tables_number 1
_cell_length_a 3.4656
_cell_length_b 3.4656
_cell_length_c 13.6382
_cell_angle_alpha 90.00
_cell_angle_beta 90.00
_cell_angle_gamma 90.00
loop_
_symmetry_equiv_pos_as_xyz
'x,y,z'
loop_
_atom_site_label
_atom_site_fract_x
_atom_site_fract_y
_atom_site_fract_z
_atom_site_occupancy
Ho1 0.0000 0.0000 0.0000 1
Er1 0.0000 0.0000 0.3754 1
Er2 0.0000 0.0000 0.6246 1
Er3 0.5000 0.5000 0.1838 1
Er4 0.5000 0.5000 0.8162 1
Cu1 0.5000 0.5000 0.5000 1
# Magnetization, μB per formula unit: 0.00
# Uncorrected energy, eV/f.u.: -27.297
# Space group: P4/mmm (123)
# Energy of formation from the pure elements, eV/atom: -0.062

=====

# Tb3Te, relaxed, DFT PBE
data_Tb3Te
_symmetry_space_group_name_H-M 'P 1'
_symmetry_Int_Tables_number 1
_cell_length_a 12.4238
_cell_length_b 12.4238
_cell_length_c 6.1325
_cell_angle_alpha 90.00
_cell_angle_beta 90.00
_cell_angle_gamma 90.00
loop_
_symmetry_equiv_pos_as_xyz
'x,y,z'
loop_
_atom_site_label
_atom_site_fract_x
_atom_site_fract_y
_atom_site_fract_z
_atom_site_occupancy
Tb1 0.0364 0.5750 0.2368 1
Tb2 0.0750 0.9636 0.7368 1
Tb3 0.1093 0.2207 0.0384 1
Tb4 0.1410 0.6673 0.7127 1
Tb5 0.1673 0.8590 0.2127 1
Tb6 0.2207 0.3907 0.4616 1
Tb7 0.2793 0.1093 0.4616 1
Tb8 0.3327 0.6410 0.2127 1
Tb9 0.3590 0.8327 0.7127 1
Tb10 0.3907 0.2793 0.0384 1
Tb11 0.4250 0.5364 0.7368 1
Tb12 0.4636 0.9250 0.2368 1
Tb13 0.5364 0.0750 0.7632 1
Tb14 0.5750 0.4636 0.2632 1
Tb15 0.6093 0.7207 0.9616 1
Tb16 0.6410 0.1673 0.2873 1
Tb17 0.6673 0.3590 0.7873 1
Tb18 0.7207 0.8907 0.5384 1
Tb19 0.7793 0.6093 0.5384 1
Tb20 0.8327 0.1410 0.7873 1
Tb21 0.8590 0.3327 0.2873 1
Tb22 0.8907 0.7793 0.9616 1
Tb23 0.9250 0.0364 0.2632 1
Tb24 0.9636 0.4250 0.7632 1
Te1 0.0484 0.2065 0.5428 1
Te2 0.2065 0.4516 0.9572 1
Te3 0.2935 0.0484 0.9572 1
Te4 0.4516 0.2935 0.5428 1
Te5 0.5484 0.7065 0.4572 1
Te6 0.7065 0.9516 0.0428 1
Te7 0.7935 0.5484 0.0428 1
Te8 0.9516 0.7935 0.4572 1
# ΔE_f (raw), meV per atom: -650
# Magnetization, μB per formula unit: 0.00
# Uncorrected energy, eV/f.u.: -19.631
# Space group: P4_2/n (86)
# Distance to the lowest polymorph of the same formula, eV per atom: 0.000

=====

# Tb4ErAl, relaxed, DFT PBE
data_Tb4ErAl
_symmetry_space_group_name_H-M 'P 1'
_symmetry_Int_Tables_number 1
_cell_length_a 3.5262
_cell_length_b 3.5262
_cell_length_c 14.0755
_cell_angle_alpha 90.00
_cell_angle_beta 90.00
_cell_angle_gamma 90.00
loop_
_symmetry_equiv_pos_as_xyz
'x,y,z'
loop_
_atom_site_label
_atom_site_fract_x
_atom_site_fract_y
_atom_site_fract_z
_atom_site_occupancy
Tb1 0.0000 0.0000 0.1370 1
Tb2 0.0000 0.0000 0.8630 1
Tb3 0.5000 0.5000 0.3216 1
Tb4 0.5000 0.5000 0.6784 1
Er1 0.0000 0.0000 0.5000 1
Al1 0.5000 0.5000 0.0000 1
# Magnetization, μB per formula unit: 0.00
# Uncorrected energy, eV/f.u.: -27.527
# Space group: P4/mmm (123)
# Energy of formation from the pure elements, eV/atom: -0.117
# Distance to the lowest polymorph of the same formula, eV per atom: 0.000

=====

# TbTmTh2Se5, relaxed, DFT PBE
data_TbTmTh2Se5
_symmetry_space_group_name_H-M 'P 1'
_symmetry_Int_Tables_number 1
_cell_length_a 5.0102
_cell_length_b 5.0102
_cell_length_c 10.7128
_cell_angle_alpha 90.00
_cell_angle_beta 90.00
_cell_angle_gamma 90.00
loop_
_symmetry_equiv_pos_as_xyz
'x,y,z'
loop_
_atom_site_label
_atom_site_fract_x
_atom_site_fract_y
_atom_site_fract_z
_atom_site_occupancy
Tb1 0.0000 0.0000 0.0000 1
Tm1 0.0000 0.0000 0.5000 1
Th1 0.5000 0.5000 0.3242 1
Th2 0.5000 0.5000 0.6758 1
Se1 0.0000 0.0000 0.2481 1
Se2 0.0000 0.0000 0.7519 1
Se3 0.0000 0.5000 0.5000 1
Se4 0.5000 0.0000 0.5000 1
Se5 0.5000 0.5000 0.0000 1
# ΔE_f (raw), meV per atom: -1047
# Magnetization, μB per formula unit: 0.01
# Uncorrected energy, eV/f.u.: -50.786
# Space group: P4/mmm (123)

=====

# RbNiAgP, relaxed, DFT PBE
data_RbNiAgP
_symmetry_space_group_name_H-M 'P 1'
_symmetry_Int_Tables_number 1
_cell_length_a 3.9340
_cell_length_b 3.9340
_cell_length_c 12.6160
_cell_angle_alpha 90.00
_cell_angle_beta 90.00
_cell_angle_gamma 90.00
loop_
_symmetry_equiv_pos_as_xyz
'x,y,z'
loop_
_atom_site_label
_atom_site_fract_x
_atom_site_fract_y
_atom_site_fract_z
_atom_site_occupancy
Rb1 0.2500 0.2500 0.2481 1
Rb2 0.7500 0.7500 0.7519 1
Ni1 0.2500 0.7500 0.0000 1
Ni2 0.7500 0.2500 0.0000 1
Ag1 0.2500 0.7500 0.5000 1
Ag2 0.7500 0.2500 0.5000 1
P1 0.2500 0.2500 0.9157 1
P2 0.7500 0.7500 0.0843 1
# Magnetization, μB per formula unit: 0.00
# Uncorrected energy, eV/f.u.: -16.083
# Space group: P4/nmm (129)
# Energy of formation from the pure elements, eV/atom: -0.268

=====

# AcPm2NdY, relaxed, DFT PBE
data_AcPm2NdY
_symmetry_space_group_name_H-M 'P 1'
_symmetry_Int_Tables_number 1
_cell_length_a 7.4231
_cell_length_b 7.4231
_cell_length_c 7.4001
_cell_angle_alpha 90.00
_cell_angle_beta 90.00
_cell_angle_gamma 109.52
loop_
_symmetry_equiv_pos_as_xyz
'x,y,z'
loop_
_atom_site_label
_atom_site_fract_x
_atom_site_fract_y
_atom_site_fract_z
_atom_site_occupancy
Ac1 0.2369 0.7631 0.7500 1
Ac2 0.7631 0.2369 0.2500 1
Pm1 0.1881 0.1881 0.0000 1
Pm2 0.1881 0.1881 0.5000 1
Pm3 0.8119 0.8119 0.0000 1
Pm4 0.8119 0.8119 0.5000 1
Nd1 0.4936 0.5064 0.2500 1
Nd2 0.5064 0.4936 0.7500 1
Y1 0.2179 0.7821 0.2500 1
Y2 0.7821 0.2179 0.7500 1
# Magnetization, μB per formula unit: 0.00
# Uncorrected energy, eV/f.u.: -23.098
# Space group: Cmcm (63)
# Energy of formation from the pure elements, eV/atom: 0.349

=====

# La8Y5Er, relaxed, DFT PBE
data_La8Y5Er
_symmetry_space_group_name_H-M 'P 1'
_symmetry_Int_Tables_number 1
_cell_length_a 8.6940
_cell_length_b 8.6940
_cell_length_c 8.6940
_cell_angle_alpha 110.77
_cell_angle_beta 110.77
_cell_angle_gamma 106.90
loop_
_symmetry_equiv_pos_as_xyz
'x,y,z'
loop_
_atom_site_label
_atom_site_fract_x
_atom_site_fract_y
_atom_site_fract_z
_atom_site_occupancy
La1 0.0771 0.3449 0.6010 1
La2 0.1598 0.4358 0.0908 1
La3 0.3450 0.0690 0.9092 1
La4 0.5239 0.9229 0.2678 1
La5 0.5642 0.6550 0.7240 1
La6 0.6551 0.2561 0.7322 1
La7 0.7439 0.4761 0.3990 1
La8 0.9310 0.8402 0.2760 1
Y1 0.0314 0.7251 0.9064 1
Y2 0.2749 0.1812 0.3063 1
Y3 0.5000 0.5000 0.0000 1
Y4 0.8188 0.1250 0.0936 1
Y5 0.8750 0.9686 0.6937 1
Er1 0.2500 0.7500 0.5000 1
# Magnetization, μB per formula unit: 0.00
# Uncorrected energy, eV/f.u.: -72.710
# Space group: I-4 (82)
# Energy of formation from the pure elements, eV/atom: 0.257

=====

# CePa2WN5, relaxed, DFT PBE
data_CePa2WN5
_symmetry_space_group_name_H-M 'P 1'
_symmetry_Int_Tables_number 1
_cell_length_a 7.4335
_cell_length_b 7.4335
_cell_length_c 7.4335
_cell_angle_alpha 127.11
_cell_angle_beta 127.11
_cell_angle_gamma 78.07
loop_
_symmetry_equiv_pos_as_xyz
'x,y,z'
loop_
_atom_site_label
_atom_site_fract_x
_atom_site_fract_y
_atom_site_fract_z
_atom_site_occupancy
Ce1 0.2500 0.2500 0.0000 1
Ce2 0.7500 0.7500 0.0000 1
Pa1 0.1745 0.6745 0.8490 1
Pa2 0.3255 0.1745 0.5000 1
Pa3 0.6745 0.8255 0.5000 1
Pa4 0.8255 0.3255 0.1510 1
W1 0.2500 0.7500 0.5000 1
W2 0.7500 0.2500 0.5000 1
N1 0.0000 0.0000 0.0000 1
N2 0.0175 0.2108 0.5000 1
N3 0.2108 0.7108 0.1933 1
N4 0.2892 0.4825 0.5000 1
N5 0.4825 0.9825 0.1933 1
N6 0.5000 0.5000 0.0000 1
N7 0.5175 0.0175 0.8067 1
N8 0.7108 0.5175 0.5000 1
N9 0.7892 0.2892 0.8067 1
N10 0.9825 0.7892 0.5000 1
# ΔE_f (raw), meV per atom: -1238
# Magnetization, μB per formula unit: 0.86
# Uncorrected energy, eV/f.u.: -90.651
# Space group: I4/mcm (140)

=====

# KZnCu, relaxed, DFT PBE
data_KZnCu
_symmetry_space_group_name_H-M 'P 1'
_symmetry_Int_Tables_number 1
_cell_length_a 4.3241
_cell_length_b 4.3241
_cell_length_c 4.9906
_cell_angle_alpha 90.00
_cell_angle_beta 90.00
_cell_angle_gamma 120.00
loop_
_symmetry_equiv_pos_as_xyz
'x,y,z'
loop_
_atom_site_label
_atom_site_fract_x
_atom_site_fract_y
_atom_site_fract_z
_atom_site_occupancy
K1 0.0000 0.0000 0.0000 1
Zn1 0.6667 0.3333 0.5000 1
Cu1 0.3333 0.6667 0.5000 1
# Magnetization, μB per formula unit: 0.00
# Uncorrected energy, eV/f.u.: -5.883
# Space group: P-6m2 (187)
# Energy of formation from the pure elements, eV/atom: 0.195
# Distance to the lowest polymorph of the same formula, eV per atom: 0.071

=====

# Ho8ErSb6, relaxed, DFT PBE
data_Ho8ErSb6
_symmetry_space_group_name_H-M 'P 1'
_symmetry_Int_Tables_number 1
_cell_length_a 10.6040
_cell_length_b 10.6040
_cell_length_c 10.6040
_cell_angle_alpha 41.17
_cell_angle_beta 41.17
_cell_angle_gamma 41.17
loop_
_symmetry_equiv_pos_as_xyz
'x,y,z'
loop_
_atom_site_label
_atom_site_fract_x
_atom_site_fract_y
_atom_site_fract_z
_atom_site_occupancy
Ho1 0.0463 0.3806 0.7144 1
Ho2 0.1667 0.1667 0.1667 1
Ho3 0.2856 0.9537 0.6194 1
Ho4 0.3806 0.7144 0.0463 1
Ho5 0.6194 0.2856 0.9537 1
Ho6 0.7144 0.0463 0.3806 1
Ho7 0.8333 0.8333 0.8333 1
Ho8 0.9537 0.6194 0.2856 1
Er1 0.5000 0.5000 0.5000 1
Sb1 0.1061 0.7712 0.4384 1
Sb2 0.2288 0.5616 0.8939 1
Sb3 0.4384 0.1061 0.7712 1
Sb4 0.5616 0.8939 0.2288 1
Sb5 0.7712 0.4384 0.1061 1
Sb6 0.8939 0.2288 0.5616 1
# ΔE_f (raw), meV per atom: -742
# Magnetization, μB per formula unit: 0.00
# Uncorrected energy, eV/f.u.: -77.051
# Space group: R-3 (148)

=====

# CaLa2ScNi, relaxed, DFT PBE
data_CaLa2ScNi
_symmetry_space_group_name_H-M 'P 1'
_symmetry_Int_Tables_number 1
_cell_length_a 5.5147
_cell_length_b 5.5147
_cell_length_c 5.2993
_cell_angle_alpha 90.00
_cell_angle_beta 90.00
_cell_angle_gamma 90.00
loop_
_symmetry_equiv_pos_as_xyz
'x,y,z'
loop_
_atom_site_label
_atom_site_fract_x
_atom_site_fract_y
_atom_site_fract_z
_atom_site_occupancy
Ca1 0.0000 0.0000 0.0000 1
La1 0.0000 0.5000 0.5000 1
La2 0.5000 0.0000 0.5000 1
Sc1 0.5000 0.5000 0.0000 1
Ni1 0.5000 0.5000 0.5000 1
# Magnetization, μB per formula unit: 0.00
# Uncorrected energy, eV/f.u.: -24.123
# Space group: P4/mmm (123)
# Energy of formation from the pure elements, eV/atom: -0.031

=====

Q: The highest uncorrected energy belongs to which entry?
A: KZnCu